## HfSe2SN (PBE-GGA)

Data for an optimized crystal structure of HfSe2SN.

Lattice parameters (Å, degrees): 5.048 5.048 3.368 90.00 90.00 90.00
Space group P4/mmm (No. 123)
Asymmetric unit:
Hf  0.000  0.000  0.000 [1 per cell]
Se  0.000  0.500  0.500 [2 per cell]
S  0.500  0.500  0.500 [1 per cell]
N  0.500  0.500  0.000 [1 per cell]

Results
Energy above the lowest structure with this stoichiometry in meV/atom: 191
Density in kg/m³: 7399

---

## HfSe2SN (PBE-GGA)

Data for an optimized crystal structure of HfSe2SN.

Lattice parameters (Å, degrees): 5.258 5.258 3.995 90.00 90.00 90.00
Space group P4/mmm (No. 123)
Asymmetric unit:
Hf  0.000  0.000  0.000 [1 per cell]
Se  0.000  0.500  0.000 [2 per cell]
S  0.500  0.500  0.500 [1 per cell]
N  0.000  0.000  0.500 [1 per cell]

Results
Energy above the lowest structure with this stoichiometry in meV/atom: 0
Density in kg/m³: 5750

---

## Hf2SiSN (PBE-GGA)

Data for an optimized crystal structure of Hf2SiSN.

Lattice parameters (Å, degrees): 4.616 4.616 3.496 90.00 90.00 90.00
Space group P4/mmm (No. 123)
Asymmetric unit:
Hf  0.000  0.500  0.000 [2 per cell]
Si  0.000  0.000  0.500 [1 per cell]
S  0.500  0.500  0.500 [1 per cell]
N  0.000  0.000  0.000 [1 per cell]

Results
Density in kg/m³: 9611

---

no.,formation energy without anion corrections (meV per atom)
1,522
2,331
3,-491